Pm2CdSn3Pd4 | PBE | relaxed

Values from the calculation:
**E_form**: -0.7033 eV/atom
**DFT total energy**: -5.02 eV/atom

abc: 4.517 4.517 10.975
angles: 90.00 90.00 90.00
Sites, in units of the cell vectors:
Pm: 0.000 0.500 0.244
Pm: 0.500 0.000 0.756
Cd: 0.000 0.000 0.500
Sn: 0.000 0.500 0.872
Sn: 0.500 0.000 0.128
Sn: 0.500 0.500 0.500
Pd: 0.000 0.000 0.000
Pd: 0.000 0.500 0.637
Pd: 0.500 0.000 0.363
Pd: 0.500 0.500 0.000

TlCuHgBr5 | PBE | relaxed

Values from the calculation:
**DFT total energy**: -2.33 eV/atom
**Formation energy from raw total energies**: -3.49 eV per formula unit

abc: 7.885 7.885 10.053
angles: 103.01 103.01 111.31
Sites, in units of the cell vectors:
Tl: 0.160 0.840 0.750
Tl: 0.840 0.160 0.250
Cu: 0.177 0.823 0.250
Cu: 0.823 0.177 0.750
Hg: 0.500 0.500 0.000
Hg: 0.500 0.500 0.500
Br: 0.101 0.217 0.936
Br: 0.196 0.622 0.398
Br: 0.217 0.101 0.436
Br: 0.378 0.804 0.102
Br: 0.419 0.581 0.750
Br: 0.581 0.419 0.250
Br: 0.622 0.196 0.898
Br: 0.783 0.899 0.564
Br: 0.804 0.378 0.602
Br: 0.899 0.783 0.064

Y2AgOsO8 | PBE | relaxed

Values from the calculation:
**DFT total energy**: -7.36 eV/atom
**Formation energy from raw total energies**: -21.61 eV per formula unit

abc: 4.911 4.913 7.049
angles: 87.51 87.47 87.14
Sites, in units of the cell vectors:
Y: 0.025 0.025 0.242
Y: 0.975 0.975 0.758
Ag: 0.500 0.500 0.000
Os: 0.500 0.500 0.500
O: 0.199 0.801 0.000
O: 0.222 0.779 0.500
O: 0.290 0.292 0.668
O: 0.347 0.347 0.285
O: 0.653 0.653 0.715
O: 0.710 0.708 0.332
O: 0.778 0.221 0.500
O: 0.801 0.199 0.000

NaTc3As | PBE | relaxed

Values from the calculation:
**E_form**: 2.4747 eV/atom
**DFT total energy**: -4.94 eV/atom

abc: 4.539 4.539 4.539
angles: 90.00 90.00 90.00
Sites, in units of the cell vectors:
Na: 0.000 0.000 0.000
Tc: 0.000 0.000 0.500
Tc: 0.000 0.500 0.000
Tc: 0.500 0.000 0.000
As: 0.500 0.500 0.500

PrTh2WC4 | PBE | relaxed

Values from the calculation:
**E_form**: -0.0609 eV/atom
**DFT total energy**: -8.74 eV/atom

abc: 6.530 6.530 12.846
angles: 90.00 90.00 147.43
Sites, in units of the cell vectors:
Pr: 0.103 0.897 0.750
Pr: 0.897 0.103 0.250
Th: 0.369 0.631 0.539
Th: 0.369 0.631 0.961
Th: 0.631 0.369 0.039
Th: 0.631 0.369 0.461
W: 0.166 0.834 0.250
W: 0.834 0.166 0.750
C: 0.000 0.000 0.000
C: 0.000 0.000 0.500
C: 0.263 0.737 0.131
C: 0.263 0.737 0.369
C: 0.415 0.585 0.750
C: 0.585 0.415 0.250
C: 0.737 0.263 0.631
C: 0.737 0.263 0.869

Ac3AlSn2 | PBE | relaxed

Values from the calculation:
**E_form**: -0.5831 eV/atom
**DFT total energy**: -4.60 eV/atom

abc: 13.323 4.701 13.242
angles: 90.00 90.00 90.00
Sites, in units of the cell vectors:
Ac: 0.058 0.250 0.119
Ac: 0.120 0.750 0.556
Ac: 0.211 0.250 0.790
Ac: 0.289 0.750 0.290
Ac: 0.380 0.250 0.056
Ac: 0.442 0.750 0.619
Ac: 0.558 0.250 0.381
Ac: 0.620 0.750 0.944
Ac: 0.711 0.250 0.710
Ac: 0.789 0.750 0.210
Ac: 0.880 0.250 0.444
Ac: 0.942 0.750 0.881
Al: 0.130 0.250 0.367
Al: 0.370 0.750 0.867
Al: 0.630 0.250 0.133
Al: 0.870 0.750 0.633
Sn: 0.022 0.750 0.311
Sn: 0.193 0.750 0.990
Sn: 0.307 0.250 0.490
Sn: 0.478 0.250 0.811
Sn: 0.522 0.750 0.189
Sn: 0.693 0.750 0.510
Sn: 0.807 0.250 0.010
Sn: 0.978 0.250 0.689